TeMoWF2, relaxed, DFT PBE+U; density = 6.92 Mg/m³; N(E_F) = 0.93 states/eV/cell; total magnetization = 2.00 μB per cell; VASP energy = -24.79 eV per formula unit; space-group type = No. 123
1.0
4.151 0.000 0.000
0.000 4.151 0.000
0.000 0.000 6.197
Te Mo W F
1 1 1 2
Direct
0.000 0.000 0.000
0.500 0.500 0.000
0.500 0.500 0.500
0.000 0.500 0.500
0.500 0.000 0.500